The following is a PBE calculation of crystalline MnPdPb at its relaxed geometry, from Alexandria via LeMat-Bulk.

Computed properties:
**DOS at the Fermi energy**: 1.71 states/eV/f.u.
**Energy**: -5.988 eV/atom

abc: 4.0058 6.4781 9.9257
angles: 92.12 101.64 90.00
Fractional coordinates of all 12 atoms:
Pb 0.1179 0.4631 0.2358
Pb 0.4695 0.2409 0.9390
Pb 0.5305 0.7591 0.0610
Pb 0.8821 0.5369 0.7642
Mn 0.2705 0.6467 0.5410
Mn 0.8070 0.9725 0.6140
Mn 0.7295 0.3533 0.4590
Mn 0.1930 0.0275 0.3860
Pd 0.3121 0.2475 0.6241
Pd 0.6123 0.1318 0.2246
Pd 0.6879 0.7525 0.3759
Pd 0.3877 0.8682 0.7754

***

The following is a PBE calculation of crystalline MnPd12Pb3 at its relaxed geometry, from Alexandria via LeMat-Bulk.

Computed properties:
**DOS at the Fermi energy**: 10.03 states/eV/f.u.
**Energy**: -5.423 eV/atom

abc: 4.0733 4.0733 16.1879
angles: 90.00 90.00 90.00
Fractional coordinates of all 16 atoms:
Mn 0.0000 0.0000 0.0000
Pd 0.5000 0.5000 0.0000
Pd 0.5000 0.5000 0.2451
Pd 0.5000 0.5000 0.5000
Pd 0.5000 0.5000 0.7549
Pd 0.5000 0.0000 0.1156
Pd 0.5000 0.0000 0.3719
Pd 0.5000 0.0000 0.6281
Pd 0.5000 0.0000 0.8844
Pd 0.0000 0.5000 0.1156
Pd 0.0000 0.5000 0.3719
Pd 0.0000 0.5000 0.6281
Pd 0.0000 0.5000 0.8844
Pb 0.0000 0.0000 0.2428
Pb 0.0000 0.0000 0.5000
Pb 0.0000 0.0000 0.7572

***

The following is a PBE calculation of crystalline MnPdPb at its relaxed geometry, from Alexandria via LeMat-Bulk.

Computed properties:
**DOS at the Fermi energy**: 2.17 states/eV/f.u.
**Energy**: -5.917 eV/atom

abc: 3.3688 5.8041 6.2765
angles: 94.04 105.50 90.02
Fractional coordinates of all 6 atoms:
Mn 0.7286 0.3760 0.3607
Mn 0.3663 0.6713 0.6363
Pd 0.3542 0.1638 0.6131
Pd 0.9958 0.9063 0.8971
Pb 0.0244 0.4070 0.9517
Pb 0.6937 0.8776 0.2930